<P>
DFT (PBE) results for a geometry-optimized La2MgPtF structure.

```
data_La2MgPtF
_chemical_formula_sum 'La2 Mg1 Pt1 F1'
_space_group_name_H-M_alt 'P 4/m m m'
_space_group_IT_number 123
_space_group_name_Hall '-P 4 2'
_cell_length_a 5.657
_cell_length_b 5.657
_cell_length_c 5.050
_cell_angle_alpha 90.00
_cell_angle_beta 90.00
_cell_angle_gamma 90.00
loop_
_atom_site_label
_atom_site_type_symbol
_atom_site_fract_x
_atom_site_fract_y
_atom_site_fract_z
La1 La 0.000 0.500 0.000
Mg1 Mg 0.000 0.000 0.500
Pt1 Pt 0.000 0.000 0.000
F1 F 0.500 0.500 0.500
```

Values from the calculation:
- Total moment: 0.00 μB per cell
- Crystal system: tetragonal

---

<Q>
DFT (PBE) results for a geometry-optimized La2MgPtF structure.

```
data_La2MgPtF
_chemical_formula_sum 'La2 Mg1 Pt1 F1'
_space_group_name_H-M_alt 'P 4/m m m'
_space_group_IT_number 123
_space_group_name_Hall '-P 4 2'
_cell_length_a 5.870
_cell_length_b 5.870
_cell_length_c 3.750
_cell_angle_alpha 90.00
_cell_angle_beta 90.00
_cell_angle_gamma 90.00
loop_
_atom_site_label
_atom_site_type_symbol
_atom_site_fract_x
_atom_site_fract_y
_atom_site_fract_z
La1 La 0.000 0.500 0.000
Mg1 Mg 0.000 0.000 0.000
Pt1 Pt 0.500 0.500 0.500
F1 F 0.000 0.000 0.500
```

Values from the calculation:
- Total moment: 0.00 μB per cell
- Crystal system: tetragonal

---

The energetic minimum among the shown structures is <P>; the next structure lies 32.6 kJ/mol of atoms above.